Material: Ce2Zn15Pd2
Method: DFT, PBE
State: relaxed

Symmetry   R-3m, No. 166

abc: 6.827 6.827 6.827
angles: 83.05 83.05 83.05
Atoms (fractional coordinates):
Ce1 0.161 0.161 0.161
Ce2 0.839 0.839 0.839
Zn1 0.000 0.500 0.500
Zn2 0.149 0.149 0.657
Zn3 0.149 0.657 0.149
Zn4 0.213 0.500 0.787
Zn5 0.213 0.787 0.500
Zn6 0.343 0.851 0.851
Zn7 0.500 0.000 0.500
Zn8 0.500 0.213 0.787
Zn9 0.500 0.500 0.000
Zn10 0.500 0.787 0.213
Zn11 0.657 0.149 0.149
Zn12 0.787 0.213 0.500
Zn13 0.787 0.500 0.213
Zn14 0.851 0.343 0.851
Zn15 0.851 0.851 0.343
Pd1 0.389 0.389 0.389
Pd2 0.611 0.611 0.611

---

Material: Ce2ZnPd2
Method: DFT, PBE
State: relaxed

Symmetry   C2/m, No. 12

abc: 5.981 5.981 10.196
angles: 116.07 116.07 43.10
Atoms (fractional coordinates):
Ce1 0.007 0.007 0.336
Ce2 0.180 0.180 0.105
Ce3 0.820 0.820 0.895
Ce4 0.993 0.993 0.664
Zn1 0.283 0.283 0.641
Zn2 0.717 0.717 0.359
Pd1 0.357 0.357 0.422
Pd2 0.464 0.464 0.119
Pd3 0.536 0.536 0.881
Pd4 0.643 0.643 0.578

---

Material: CeZn2Pd8
Method: DFT, PBE
State: relaxed

Symmetry   C2/m, No. 12

abc: 7.275 7.275 6.414
angles: 108.14 108.14 33.44
Atoms (fractional coordinates):
Ce1 0.000 0.000 0.000
Zn1 0.279 0.279 0.349
Zn2 0.721 0.721 0.651
Pd1 0.101 0.101 0.471
Pd2 0.182 0.182 0.929
Pd3 0.350 0.350 0.784
Pd4 0.456 0.456 0.273
Pd5 0.544 0.544 0.727
Pd6 0.650 0.650 0.216
Pd7 0.818 0.818 0.071
Pd8 0.899 0.899 0.529

---

Material: Ce3Zn9Pd2
Method: DFT, PBE
State: relaxed

Symmetry   Immm, No. 71

abc: 8.196 8.196 8.196
angles: 148.63 113.24 75.62
Atoms (fractional coordinates):
Ce1 0.000 0.000 0.000
Ce2 0.300 0.300 0.000
Ce3 0.700 0.700 0.000
Zn1 0.023 0.664 0.358
Zn2 0.153 0.869 0.284
Zn3 0.306 0.664 0.642
Zn4 0.415 0.131 0.284
Zn5 0.500 0.000 0.500
Zn6 0.585 0.869 0.716
Zn7 0.694 0.336 0.358
Zn8 0.847 0.131 0.716
Zn9 0.977 0.336 0.642
Pd1 0.311 0.500 0.811
Pd2 0.689 0.500 0.189

---

Material: CeZnPd
Method: DFT, PBE
State: relaxed

Symmetry   F-43m, No. 216
Relative energy among the computed polymorphs   206 meV/atom

abc: 6.587 6.587 6.587
angles: 90.00 90.00 90.00
Atoms (fractional coordinates):
Ce1 0.000 0.000 0.000
Ce2 0.000 0.500 0.500
Ce3 0.500 0.000 0.500
Ce4 0.500 0.500 0.000
Zn1 0.000 0.000 0.500
Zn2 0.000 0.500 0.000
Zn3 0.500 0.000 0.000
Zn4 0.500 0.500 0.500
Pd1 0.250 0.250 0.750
Pd2 0.250 0.750 0.250
Pd3 0.750 0.250 0.250
Pd4 0.750 0.750 0.750

---

Material: Ce2ZnPd
Method: DFT, PBE
State: relaxed

Symmetry   Imma, No. 74
Relative energy among the computed polymorphs   0 meV/atom

abc: 6.588 7.102 7.474
angles: 90.00 90.00 90.00
Atoms (fractional coordinates):
Ce1 0.250 0.051 0.250
Ce2 0.250 0.449 0.250
Ce3 0.250 0.551 0.750
Ce4 0.250 0.949 0.750
Ce5 0.750 0.051 0.250
Ce6 0.750 0.449 0.250
Ce7 0.750 0.551 0.750
Ce8 0.750 0.949 0.750
Zn1 0.000 0.250 0.552
Zn2 0.000 0.750 0.448
Zn3 0.500 0.250 0.948
Zn4 0.500 0.750 0.052
Pd1 0.000 0.250 0.928
Pd2 0.000 0.750 0.072
Pd3 0.500 0.250 0.572
Pd4 0.500 0.750 0.428

---

Material: Ce2ZnPd
Method: DFT, PBE
State: relaxed

Symmetry   R-3m, No. 166
Relative energy among the computed polymorphs   475 meV/atom

abc: 3.006 3.006 33.846
angles: 90.00 90.00 120.00
Atoms (fractional coordinates):
Ce1 0.000 0.000 0.092
Ce2 0.000 0.000 0.908
Ce3 0.333 0.667 0.575
Ce4 0.333 0.667 0.759
Ce5 0.667 0.333 0.241
Ce6 0.667 0.333 0.425
Zn1 0.000 0.000 0.000
Zn2 0.333 0.667 0.667
Zn3 0.667 0.333 0.333
Pd1 0.000 0.000 0.500
Pd2 0.333 0.667 0.167
Pd3 0.667 0.333 0.833

---

Material: Ce3Zn8Pd3
Method: DFT, PBE
State: relaxed

Symmetry   Immm, No. 71

abc: 8.267 8.267 8.267
angles: 149.80 111.26 76.89
Atoms (fractional coordinates):
Ce1 0.000 0.000 0.000
Ce2 0.323 0.323 0.000
Ce3 0.677 0.677 0.000
Zn1 0.041 0.679 0.362
Zn2 0.150 0.873 0.276
Zn3 0.317 0.679 0.638
Zn4 0.403 0.127 0.276
Zn5 0.597 0.873 0.724
Zn6 0.683 0.321 0.362
Zn7 0.850 0.127 0.724
Zn8 0.959 0.321 0.638
Pd1 0.272 0.500 0.772
Pd2 0.500 0.000 0.500
Pd3 0.728 0.500 0.228

---

Material: Ce2Zn5Pd4
Method: DFT, PBE
State: relaxed

Symmetry   Fmmm, No. 69

abc: 9.640 8.854 5.332
angles: 81.54 65.29 33.17
Atoms (fractional coordinates):
Ce1 0.142 0.142 0.858
Ce2 0.858 0.858 0.142
Zn1 0.000 0.000 0.500
Zn2 0.250 0.250 0.250
Zn3 0.500 0.500 0.000
Zn4 0.500 0.500 0.500
Zn5 0.750 0.750 0.750
Pd1 0.213 0.531 0.469
Pd2 0.469 0.787 0.213
Pd3 0.531 0.213 0.787
Pd4 0.787 0.469 0.531

---

Material: CeZn12Pd6
Method: DFT, PBE
State: relaxed

Symmetry   R-3m, No. 166

abc: 7.157 7.157 7.157
angles: 104.58 104.58 104.58
Atoms (fractional coordinates):
Ce1 0.000 0.000 0.000
Zn1 0.111 0.500 0.889
Zn2 0.111 0.889 0.500
Zn3 0.132 0.392 0.392
Zn4 0.392 0.132 0.392
Zn5 0.392 0.392 0.132
Zn6 0.500 0.111 0.889
Zn7 0.500 0.889 0.111
Zn8 0.608 0.608 0.868
Zn9 0.608 0.868 0.608
Zn10 0.868 0.608 0.608
Zn11 0.889 0.111 0.500
Zn12 0.889 0.500 0.111
Pd1 0.280 0.280 0.703
Pd2 0.280 0.703 0.280
Pd3 0.297 0.720 0.720
Pd4 0.703 0.280 0.280
Pd5 0.720 0.297 0.720
Pd6 0.720 0.720 0.297

---

Material: CeZn8Pd4
Method: DFT, PBE
State: relaxed

Symmetry   I4/mmm, No. 139

abc: 6.831 6.831 6.831
angles: 99.21 99.21 132.82
Atoms (fractional coordinates):
Ce1 0.000 0.000 0.000
Zn1 0.000 0.350 0.350
Zn2 0.000 0.650 0.650
Zn3 0.282 0.500 0.782
Zn4 0.350 0.000 0.350
Zn5 0.500 0.282 0.782
Zn6 0.500 0.718 0.218
Zn7 0.650 0.000 0.650
Zn8 0.718 0.500 0.218
Pd1 0.000 0.000 0.500
Pd2 0.000 0.500 0.000
Pd3 0.500 0.000 0.000
Pd4 0.500 0.500 0.500

---

Number 1: formation enthalpy at 0 K -0.31 eV/atom, total magnetic moment 1.264 μB/cell. Number 2: formation enthalpy at 0 K -0.60 eV/atom, total magnetic moment 3.706 μB/cell. Number 3: formation enthalpy at 0 K -0.51 eV/atom, total magnetic moment 0.000 μB/cell. Number 4: formation enthalpy at 0 K -0.40 eV/atom, total magnetic moment 2.100 μB/cell. Number 5: formation enthalpy at 0 K -0.42 eV/atom, total magnetic moment 3.930 μB/cell. Number 6: formation enthalpy at 0 K -0.43 eV/atom, total magnetic moment 3.145 μB/cell. Number 7: formation enthalpy at 0 K 0.05 eV/atom, total magnetic moment 0.008 μB/cell. Number 8: formation enthalpy at 0 K -0.45 eV/atom, total magnetic moment 1.603 μB/cell. Number 9: formation enthalpy at 0 K -0.55 eV/atom, total magnetic moment 1.685 μB/cell. Number 10: formation enthalpy at 0 K -0.32 eV/atom, total magnetic moment 0.901 μB/cell. Number 11: formation enthalpy at 0 K -0.41 eV/atom, total magnetic moment 1.004 μB/cell.